Here is an optimized crystal structure of ZrBeRh from Alexandria. Energies are from PBEsol.

Values from the calculation:
Calculated volume ... 17.283 A^3/atom
Space group ... F-43m (216)
VASP energy ... -7.201 eV/atom
Formation energy ... -125 meV/atom

Cell: 4.186 4.186 4.186 Å, 60.00 60.00 60.00°
Element x y z (fractional)
Zr (0.000, 0.000, 0.000)
Be (0.500, 0.500, 0.500)
Rh (0.250, 0.250, 0.250)